First-principles (PBE-GGA) data for a relaxed RbSrLa crystal, as listed in the Alexandria database.

Computed properties:
As for the space group: Amm2, No. 38. The formation energy comes out at 0.2803 eV/atom. The total energy is -2.245 eV per atom.

```
6
Lattice="22.030 0.000 0.000 0.000 2.025 3.515 0.000 -2.025 3.515" Properties=species:S:1:pos:R:3 pbc="T T T"
Rb 4.027 0.000 0.000
Rb 18.004 0.000 0.000
Sr 0.000 0.000 2.325
Sr 11.015 0.000 6.958
La 7.825 0.000 2.269
La 14.205 0.000 2.269
```

---

First-principles (PBE-GGA) data for a relaxed TmZn2Cd4 crystal, as listed in the Alexandria database.

Computed properties:
As for the space group: Cmmm, No. 65. The formation energy comes out at -0.1446 eV/atom. The total energy is -1.670 eV per atom.

```
7
Lattice="2.336 -8.745 0.000 2.336 8.745 0.000 0.000 0.000 3.593" Properties=species:S:1:pos:R:3 pbc="T T T"
Tm 0.000 0.000 0.000
Zn 2.336 1.209 1.796
Zn 2.336 -1.209 1.796
Cd 2.336 6.032 1.796
Cd 2.336 3.404 0.000
Cd 2.336 -3.404 0.000
Cd 2.336 -6.032 1.796
```

---

- Which of these has the lowest total energy?
  RbSrLa

---

- What is the total energy in the first record?
  -2.245 eV per atom

---

What did the first record say?
First-principles (PBE-GGA) data for a relaxed RbSrLa crystal, as listed in the Alexandria database.

Computed properties:
As for the space group: Amm2, No. 38. The formation energy comes out at 0.2803 eV/atom. The total energy is -2.245 eV per atom.

```
6
Lattice="22.030 0.000 0.000 0.000 2.025 3.515 0.000 -2.025 3.515" Properties=species:S:1:pos:R:3 pbc="T T T"
Rb 4.027 0.000 0.000
Rb 18.004 0.000 0.000
Sr 0.000 0.000 2.325
Sr 11.015 0.000 6.958
La 7.825 0.000 2.269
La 14.205 0.000 2.269
```